# 1
{"formula": "ScNiP", "functional": "PBE-GGA", "state": "relaxed", "crystal_system": "trigonal", "magnetic_moment_mub_per_cell": 0.0, "formation_enthalpy_0k_ev_per_atom": -1.0115, "lattice_angstrom": [[3.907, 0.000, 0.000], [-1.954, 3.384, 0.000], [0.000, 0.000, 20.568]], "species": ["Sc", "Sc", "Sc", "Sc", "Sc", "Sc", "Ni", "Ni", "Ni", "Ni", "Ni", "Ni", "P", "P", "P", "P", "P", "P"], "fractional_positions": [[0.667, 0.333, 0.597], [0.667, 0.333, 0.063], [0.333, 0.667, 0.931], [0.000, 0.000, 0.264], [0.333, 0.667, 0.396], [0.000, 0.000, 0.729], [0.333, 0.667, 0.805], [0.000, 0.000, 0.863], [0.667, 0.333, 0.472], [0.000, 0.000, 0.139], [0.667, 0.333, 0.197], [0.333, 0.667, 0.530], [0.333, 0.667, 0.156], [0.667, 0.333, 0.325], [0.333, 0.667, 0.658], [0.000, 0.000, 0.489], [0.000, 0.000, 0.991], [0.667, 0.333, 0.822]]}

***

# 2
{"formula": "ScNi4P2", "functional": "PBE-GGA", "state": "relaxed", "crystal_system": "trigonal", "magnetic_moment_mub_per_cell": 0.0, "formation_enthalpy_0k_ev_per_atom": -0.6949, "lattice_angstrom": [[3.827, 0.000, 0.000], [1.914, 3.315, 0.000], [1.914, 1.105, 6.997]], "species": ["Ni", "Ni", "Ni", "Ni", "P", "P", "Sc"], "fractional_positions": [[0.860, 0.860, 0.419], [0.421, 0.421, 0.736], [0.579, 0.579, 0.264], [0.140, 0.140, 0.581], [0.752, 0.752, 0.745], [0.248, 0.248, 0.255], [0.000, 0.000, 0.000]]}

***

# 3
{"formula": "ScNi4P3", "functional": "PBE-GGA", "state": "relaxed", "crystal_system": "tetragonal", "magnetic_moment_mub_per_cell": 0.0, "formation_enthalpy_0k_ev_per_atom": -0.7783, "lattice_angstrom": [[-3.697, -0.613, 0.327], [0.619, -2.100, 3.060], [-0.605, 5.861, 4.145]], "species": ["P", "P", "P", "Ni", "Ni", "Ni", "Ni", "Sc"], "fractional_positions": [[0.000, 0.000, 0.000], [0.500, 0.500, 0.653], [0.500, 0.500, 0.347], [0.500, 0.000, 0.819], [0.000, 0.500, 0.181], [0.000, 0.500, 0.819], [0.500, 0.000, 0.181], [0.000, 0.000, 0.500]]}

***

# 4
{"formula": "Sc3Ni7P4", "functional": "PBE-GGA", "state": "relaxed", "crystal_system": "monoclinic", "magnetic_moment_mub_per_cell": 0.0, "formation_enthalpy_0k_ev_per_atom": -0.9395, "lattice_angstrom": [[-0.799, 1.741, -3.139], [-7.134, -0.903, -0.839], [-3.505, 6.275, 2.219]], "species": ["Ni", "Ni", "Ni", "Ni", "Ni", "Ni", "Ni", "P", "P", "P", "P", "Sc", "Sc", "Sc"], "fractional_positions": [[0.309, 0.856, 0.525], [0.166, 0.592, 0.076], [0.490, 0.232, 0.788], [0.834, 0.408, 0.924], [0.691, 0.144, 0.475], [0.510, 0.768, 0.212], [0.000, 0.000, 0.000], [0.662, 0.439, 0.238], [0.338, 0.561, 0.762], [0.109, 0.106, 0.676], [0.891, 0.894, 0.324], [0.000, 0.500, 0.500], [0.321, 0.182, 0.176], [0.679, 0.818, 0.824]]}